Entry from Alexandria via LeMat-Bulk: a relaxed Ca2Bi crystal (PBE).

a b c (Å): 7.9716 4.9219 10.2185
angles (deg): 90.00 90.00 90.00
With the nearest neighbours (Å) after each atom.
Positions (direct):
Ca 0.0487 0.2500 0.1853  5 Bi 3.37-3.59, 2 Ca 3.72
Ca 0.1387 0.2500 0.5617  4 Bi 3.27-3.33, 2 Ca 3.54
Ca 0.3613 0.7500 0.0617  4 Bi 3.27-3.33, 2 Ca 3.54
Ca 0.4513 0.7500 0.6853  5 Bi 3.37-3.59, 2 Ca 3.72
Ca 0.5487 0.2500 0.3147  5 Bi 3.37-3.59, 2 Ca 3.72
Ca 0.6387 0.2500 0.9383  4 Bi 3.27-3.33, 2 Ca 3.54
Ca 0.8613 0.7500 0.4383  4 Bi 3.27-3.33, 2 Ca 3.54
Ca 0.9513 0.7500 0.8147  5 Bi 3.37-3.59, 2 Ca 3.72
Bi 0.2291 0.2500 0.8742  9 Ca 3.27-3.59
Bi 0.2709 0.7500 0.3742  9 Ca 3.27-3.59
Bi 0.7291 0.2500 0.6258  9 Ca 3.27-3.59
Bi 0.7709 0.7500 0.1258  9 Ca 3.27-3.59

Energy relative to the elements in meV per atom: -679
Energy in eV per atom: -3.307

---

Entry from Alexandria via LeMat-Bulk: a relaxed CaBi crystal (PBE).

a b c (Å): 6.5649 6.5649 4.8526
angles (deg): 106.26 106.26 40.49
With the nearest neighbours (Å) after each atom.
Positions (direct):
Ca 0.1228 0.1228 0.3029  7 Bi 3.26-3.63, 1 Ca 3.53
Ca 0.8772 0.8772 0.6971  7 Bi 3.26-3.63, 1 Ca 3.53
Bi 0.3859 0.3859 0.2225  7 Ca 3.26-3.63, 1 Bi 3.26
Bi 0.6141 0.6141 0.7775  7 Ca 3.26-3.63, 1 Bi 3.26

Energy relative to the elements in meV per atom: -714
Energy in eV per atom: -3.656

---

Copy entry 2 word for word.
Entry from Alexandria via LeMat-Bulk: a relaxed CaBi crystal (PBE).

a b c (Å): 6.5649 6.5649 4.8526
angles (deg): 106.26 106.26 40.49
With the nearest neighbours (Å) after each atom.
Positions (direct):
Ca 0.1228 0.1228 0.3029  7 Bi 3.26-3.63, 1 Ca 3.53
Ca 0.8772 0.8772 0.6971  7 Bi 3.26-3.63, 1 Ca 3.53
Bi 0.3859 0.3859 0.2225  7 Ca 3.26-3.63, 1 Bi 3.26
Bi 0.6141 0.6141 0.7775  7 Ca 3.26-3.63, 1 Bi 3.26

Energy relative to the elements in meV per atom: -714
Energy in eV per atom: -3.656

---

Please write out number 2 again, unchanged.
Entry from Alexandria via LeMat-Bulk: a relaxed CaBi crystal (PBE).

a b c (Å): 6.5649 6.5649 4.8526
angles (deg): 106.26 106.26 40.49
With the nearest neighbours (Å) after each atom.
Positions (direct):
Ca 0.1228 0.1228 0.3029  7 Bi 3.26-3.63, 1 Ca 3.53
Ca 0.8772 0.8772 0.6971  7 Bi 3.26-3.63, 1 Ca 3.53
Bi 0.3859 0.3859 0.2225  7 Ca 3.26-3.63, 1 Bi 3.26
Bi 0.6141 0.6141 0.7775  7 Ca 3.26-3.63, 1 Bi 3.26

Energy relative to the elements in meV per atom: -714
Energy in eV per atom: -3.656

---

The lowest energy relative to the elements belongs to which entry?
CaBi